Below is crystalline MoPIr2 at its relaxed geometry, with properties calculated at the PBE level.

a = 5.196 Å, b = 5.196 Å, c = 5.196 Å
α = 147.85°, β = 130.28°, γ = 60.45°
Sites, in units of the cell vectors:
Mo  0.000  0.000  0.000
P  0.500  0.500  0.000
Ir  0.282  0.782  0.500
Ir  0.718  0.218  0.500

## Properties
Its theoretical density is 15.04 Mg/m³. The final energy comes out at -8.729 eV/atom. The formation energy comes out at -0.238 eV per atom. As for the total magnetic moment: 0.0 μB per formula unit.

***

Below is crystalline Ba5Pd at its relaxed geometry, with properties calculated at the PBE level.

a = 7.771 Å, b = 7.771 Å, c = 10.189 Å
α = 101.47°, β = 101.47°, γ = 32.67°
Sites, in units of the cell vectors:
Ba  0.000  0.000  0.000
Ba  0.089  0.089  0.422
Ba  0.387  0.387  0.627
Ba  0.696  0.696  0.802
Ba  0.793  0.793  0.202
Pd  0.339  0.339  0.949

## Properties
Its theoretical density is 4.05 Mg/m³. The final energy comes out at -2.632 eV/atom. The formation energy comes out at -0.164 eV per atom. As for the total magnetic moment: 0.0 μB per formula unit.

***

Below is crystalline NaCrPCl2 at its relaxed geometry, with properties calculated at the PBE level.

a = 5.029 Å, b = 5.029 Å, c = 4.545 Å
α = 90.00°, β = 90.00°, γ = 90.00°
Sites, in units of the cell vectors:
Na  0.000  0.000  0.000
Cr  0.500  0.500  0.500
P  0.500  0.500  0.000
Cl  0.000  0.500  0.500
Cl  0.500  0.000  0.500

## Properties
Its theoretical density is 2.56 Mg/m³. The final energy comes out at -4.587 eV/atom. For the formation energy (no corrections), the calculation gives -0.58 eV per atom. As for the total magnetic moment: 2.0 μB per formula unit.

***

Below is crystalline CeTa2N4 at its relaxed geometry, with properties calculated at the PBE level.

a = 5.382 Å, b = 5.382 Å, c = 10.458 Å
α = 90.00°, β = 90.00°, γ = 145.78°
Sites, in units of the cell vectors:
Ce  0.116  0.884  0.750
Ce  0.884  0.116  0.250
Ta  0.372  0.628  0.565
Ta  0.372  0.628  0.935
Ta  0.628  0.372  0.065
Ta  0.628  0.372  0.435
N  0.000  0.000  0.000
N  0.000  0.000  0.500
N  0.264  0.736  0.112
N  0.264  0.736  0.388
N  0.434  0.566  0.750
N  0.566  0.434  0.250
N  0.736  0.264  0.612
N  0.736  0.264  0.888

## Properties
Its theoretical density is 10.88 Mg/m³. The final energy comes out at -10.298 eV/atom. For the formation energy (no corrections), the calculation gives -1.31 eV per atom. As for the total magnetic moment: 0.3 μB per formula unit.

***

Below is crystalline LaFePt2 at its relaxed geometry, with properties calculated at the PBE level.

a = 4.375 Å, b = 4.375 Å, c = 5.647 Å
α = 112.64°, β = 112.64°, γ = 59.95°
Sites, in units of the cell vectors:
La  0.000  0.000  0.000
Fe  0.190  0.190  0.567
Pt  0.531  0.531  0.592
Pt  0.797  0.797  0.388

## Properties
Its theoretical density is 11.59 Mg/m³. The final energy comes out at -6.937 eV/atom. The formation energy comes out at -0.569 eV per atom. As for the total magnetic moment: 2.7 μB per formula unit.

***

Below is crystalline Eu2YNb at its relaxed geometry, with properties calculated at the PBE level.

a = 12.336 Å, b = 12.336 Å, c = 12.336 Å
α = 15.49°, β = 15.49°, γ = 15.49°
Sites, in units of the cell vectors:
Eu  0.081  0.081  0.081
Eu  0.919  0.919  0.919
Y  0.500  0.500  0.500
Nb  0.000  0.000  0.000

## Properties
Its theoretical density is 6.91 Mg/m³. The final energy comes out at -8.573 eV/atom. The formation energy comes out at 0.698 eV per atom. As for the total magnetic moment: 15.2 μB per formula unit.

***

Below is crystalline LiPu2Pd9 at its relaxed geometry, with properties calculated at the PBE level.

a = 4.138 Å, b = 4.138 Å, c = 11.828 Å
α = 90.00°, β = 90.00°, γ = 90.00°
Sites, in units of the cell vectors:
Li  0.000  0.000  0.000
Pu  0.000  0.000  0.322
Pu  0.000  0.000  0.678
Pd  0.000  0.500  0.155
Pd  0.000  0.500  0.500
Pd  0.000  0.500  0.845
Pd  0.500  0.000  0.155
Pd  0.500  0.000  0.500
Pd  0.500  0.000  0.845
Pd  0.500  0.500  0.000
Pd  0.500  0.500  0.327
Pd  0.500  0.500  0.673

## Properties
Its theoretical density is 11.91 Mg/m³. The final energy comes out at -6.893 eV/atom. The formation energy comes out at -0.450 eV per atom. As for the total magnetic moment: 8.9 μB per formula unit.

***

Below is crystalline Ac2AlOs2 at its relaxed geometry, with properties calculated at the PBE level.

a = 6.154 Å, b = 6.154 Å, c = 6.154 Å
α = 138.44°, β = 125.89°, γ = 70.46°
Sites, in units of the cell vectors:
Ac  0.196  0.196  0.000
Ac  0.804  0.804  0.000
Al  0.500  0.000  0.500
Os  0.222  0.500  0.722
Os  0.778  0.500  0.278

## Properties
Its theoretical density is 11.64 Mg/m³. The final energy comes out at -7.001 eV/atom. The formation energy comes out at -0.117 eV per atom. As for the total magnetic moment: 0.0 μB per formula unit.

***

Below is crystalline UTcN at its relaxed geometry, with properties calculated at the PBE level.

a = 4.224 Å, b = 4.224 Å, c = 4.224 Å
α = 122.70°, β = 122.70°, γ = 85.39°
Sites, in units of the cell vectors:
U  0.000  0.000  0.000
Tc  0.361  0.361  0.000
N  0.677  0.677  0.000

## Properties
Its theoretical density is 11.41 Mg/m³. The final energy comes out at -9.825 eV/atom. For the formation energy (no corrections), the calculation gives 0.17 eV per atom. As for the total magnetic moment: 0.0 μB per formula unit.

***

Below is crystalline Na2AcLaTe4 at its relaxed geometry, with properties calculated at the PBE level.

a = 8.005 Å, b = 4.717 Å, c = 8.172 Å
α = 90.00°, β = 109.91°, γ = 90.00°
Sites, in units of the cell vectors:
Na  0.000  0.000  0.000
Na  0.000  0.500  0.500
Ac  0.500  0.000  0.500
La  0.500  0.500  0.000
Te  0.253  0.500  0.244
Te  0.257  0.000  0.759
Te  0.743  0.000  0.241
Te  0.747  0.500  0.756

## Properties
Its theoretical density is 5.28 Mg/m³. The final energy comes out at -4.429 eV/atom. For the formation energy (no corrections), the calculation gives -1.40 eV per atom. As for the total magnetic moment: 0.0 μB per formula unit.

***

Below is crystalline SrAs12Ru4 at its relaxed geometry, with properties calculated at the PBE level.

a = 7.467 Å, b = 7.467 Å, c = 7.467 Å
α = 109.47°, β = 109.47°, γ = 109.47°
Sites, in units of the cell vectors:
Sr  0.000  0.000  0.000
As  0.151  0.352  0.503
As  0.151  0.648  0.799
As  0.201  0.849  0.352
As  0.352  0.201  0.849
As  0.352  0.503  0.151
As  0.497  0.849  0.648
As  0.503  0.151  0.352
As  0.648  0.497  0.849
As  0.648  0.799  0.151
As  0.799  0.151  0.648
As  0.849  0.352  0.201
As  0.849  0.648  0.497
Ru  0.000  0.000  0.500
Ru  0.000  0.500  0.000
Ru  0.500  0.000  0.000
Ru  0.500  0.500  0.500

## Properties
Its theoretical density is 7.21 Mg/m³. The final energy comes out at -5.985 eV/atom. The formation energy comes out at -0.422 eV per atom. As for the total magnetic moment: 0.0 μB per formula unit.

***

Below is crystalline Cr2AgMo at its relaxed geometry, with properties calculated at the PBE level.

a = 2.876 Å, b = 2.876 Å, c = 7.045 Å
α = 90.00°, β = 90.00°, γ = 90.00°
Sites, in units of the cell vectors:
Cr  0.000  0.000  0.000
Cr  0.500  0.500  0.174
Ag  0.500  0.500  0.719
Mo  0.000  0.000  0.416

## Properties
Its theoretical density is 8.77 Mg/m³. The final energy comes out at -7.847 eV/atom. The formation energy comes out at 0.386 eV per atom. As for the total magnetic moment: 0.9 μB per formula unit.